# 1
# BiPd2Au, optimized geometry, DFT PBE
data_BiPd2Au
_cell_length_a 6.708
_cell_length_b 6.708
_cell_length_c 6.708
_cell_angle_alpha 90.00
_cell_angle_beta 90.00
_cell_angle_gamma 90.00
_symmetry_space_group_name_H-M 'P 1'
_symmetry_Int_Tables_number 1
loop_
_symmetry_equiv_pos_as_xyz
'x,y,z'
loop_
_atom_site_label
_atom_site_type_symbol
_atom_site_fract_x
_atom_site_fract_y
_atom_site_fract_z
Bi1 Bi 0.000 0.000 0.000
Bi2 Bi 0.000 0.500 0.500
Bi3 Bi 0.500 0.000 0.500
Bi4 Bi 0.500 0.500 0.000
Pd1 Pd 0.000 0.000 0.500
Pd2 Pd 0.000 0.500 0.000
Pd3 Pd 0.250 0.250 0.750
Pd4 Pd 0.250 0.750 0.250
Pd5 Pd 0.500 0.000 0.000
Pd6 Pd 0.500 0.500 0.500
Pd7 Pd 0.750 0.250 0.250
Pd8 Pd 0.750 0.750 0.750
Au1 Au 0.250 0.250 0.250
Au2 Au 0.250 0.750 0.750
Au3 Au 0.750 0.250 0.750
Au4 Au 0.750 0.750 0.250
# * symmetry: F-43m
# * total DFT energy (no corrections): -4.562 eV/atom

---

# 2
# Bi2PdAu, optimized geometry, DFT PBE
data_Bi2PdAu
_cell_length_a 7.191
_cell_length_b 7.191
_cell_length_c 7.191
_cell_angle_alpha 90.00
_cell_angle_beta 90.00
_cell_angle_gamma 90.00
_symmetry_space_group_name_H-M 'P 1'
_symmetry_Int_Tables_number 1
loop_
_symmetry_equiv_pos_as_xyz
'x,y,z'
loop_
_atom_site_label
_atom_site_type_symbol
_atom_site_fract_x
_atom_site_fract_y
_atom_site_fract_z
Bi1 Bi 0.000 0.000 0.000
Bi2 Bi 0.000 0.500 0.500
Bi3 Bi 0.250 0.250 0.250
Bi4 Bi 0.250 0.750 0.750
Bi5 Bi 0.500 0.000 0.500
Bi6 Bi 0.500 0.500 0.000
Bi7 Bi 0.750 0.250 0.750
Bi8 Bi 0.750 0.750 0.250
Pd1 Pd 0.000 0.000 0.500
Pd2 Pd 0.000 0.500 0.000
Pd3 Pd 0.500 0.000 0.000
Pd4 Pd 0.500 0.500 0.500
Au1 Au 0.250 0.250 0.750
Au2 Au 0.250 0.750 0.250
Au3 Au 0.750 0.250 0.250
Au4 Au 0.750 0.750 0.750
# * symmetry: F-43m
# * total DFT energy (no corrections): -4.025 eV/atom

---

# 3
# Bi2PdAu, optimized geometry, DFT PBE
data_Bi2PdAu
_cell_length_a 4.500
_cell_length_b 4.500
_cell_length_c 5.659
_cell_angle_alpha 90.00
_cell_angle_beta 90.00
_cell_angle_gamma 120.00
_symmetry_space_group_name_H-M 'P 1'
_symmetry_Int_Tables_number 1
loop_
_symmetry_equiv_pos_as_xyz
'x,y,z'
loop_
_atom_site_label
_atom_site_type_symbol
_atom_site_fract_x
_atom_site_fract_y
_atom_site_fract_z
Bi1 Bi 0.333 0.667 0.226
Bi2 Bi 0.667 0.333 0.774
Pd1 Pd 0.000 0.000 0.000
Au1 Au 0.000 0.000 0.500
# * symmetry: P-3m1
# * total DFT energy (no corrections): -4.354 eV/atom

---

# 4
# Bi2Pd2Au, optimized geometry, DFT PBE
data_Bi2Pd2Au
_cell_length_a 4.675
_cell_length_b 4.675
_cell_length_c 11.116
_cell_angle_alpha 90.00
_cell_angle_beta 90.00
_cell_angle_gamma 90.00
_symmetry_space_group_name_H-M 'P 1'
_symmetry_Int_Tables_number 1
loop_
_symmetry_equiv_pos_as_xyz
'x,y,z'
loop_
_atom_site_label
_atom_site_type_symbol
_atom_site_fract_x
_atom_site_fract_y
_atom_site_fract_z
Bi1 Bi 0.000 0.500 0.250
Bi2 Bi 0.000 0.500 0.750
Bi3 Bi 0.500 0.000 0.250
Bi4 Bi 0.500 0.000 0.750
Pd1 Pd 0.000 0.000 0.114
Pd2 Pd 0.000 0.000 0.886
Pd3 Pd 0.500 0.500 0.386
Pd4 Pd 0.500 0.500 0.614
Au1 Au 0.000 0.000 0.500
Au2 Au 0.500 0.500 0.000
# * symmetry: I4/mmm
# * total DFT energy (no corrections): -4.171 eV/atom

---

# 5
# BiPdAu2, optimized geometry, DFT PBE
data_BiPdAu2
_cell_length_a 6.814
_cell_length_b 6.814
_cell_length_c 6.814
_cell_angle_alpha 90.00
_cell_angle_beta 90.00
_cell_angle_gamma 90.00
_symmetry_space_group_name_H-M 'P 1'
_symmetry_Int_Tables_number 1
loop_
_symmetry_equiv_pos_as_xyz
'x,y,z'
loop_
_atom_site_label
_atom_site_type_symbol
_atom_site_fract_x
_atom_site_fract_y
_atom_site_fract_z
Bi1 Bi 0.000 0.000 0.000
Bi2 Bi 0.000 0.500 0.500
Bi3 Bi 0.500 0.000 0.500
Bi4 Bi 0.500 0.500 0.000
Pd1 Pd 0.250 0.250 0.250
Pd2 Pd 0.250 0.750 0.750
Pd3 Pd 0.750 0.250 0.750
Pd4 Pd 0.750 0.750 0.250
Au1 Au 0.000 0.000 0.500
Au2 Au 0.000 0.500 0.000
Au3 Au 0.250 0.250 0.750
Au4 Au 0.250 0.750 0.250
Au5 Au 0.500 0.000 0.000
Au6 Au 0.500 0.500 0.500
Au7 Au 0.750 0.250 0.250
Au8 Au 0.750 0.750 0.750
# * symmetry: F-43m
# * total DFT energy (no corrections): -4.018 eV/atom

---

# 6
# SrBiPdAu, optimized geometry, DFT PBE
data_SrBiPdAu
_cell_length_a 7.251
_cell_length_b 7.251
_cell_length_c 7.251
_cell_angle_alpha 90.00
_cell_angle_beta 90.00
_cell_angle_gamma 90.00
_symmetry_space_group_name_H-M 'P 1'
_symmetry_Int_Tables_number 1
loop_
_symmetry_equiv_pos_as_xyz
'x,y,z'
loop_
_atom_site_label
_atom_site_type_symbol
_atom_site_fract_x
_atom_site_fract_y
_atom_site_fract_z
Sr1 Sr 0.000 0.000 0.000
Sr2 Sr 0.000 0.500 0.500
Sr3 Sr 0.500 0.000 0.500
Sr4 Sr 0.500 0.500 0.000
Bi1 Bi 0.250 0.250 0.750
Bi2 Bi 0.250 0.750 0.250
Bi3 Bi 0.750 0.250 0.250
Bi4 Bi 0.750 0.750 0.750
Pd1 Pd 0.000 0.000 0.500
Pd2 Pd 0.000 0.500 0.000
Pd3 Pd 0.500 0.000 0.000
Pd4 Pd 0.500 0.500 0.500
Au1 Au 0.250 0.250 0.250
Au2 Au 0.250 0.750 0.750
Au3 Au 0.750 0.250 0.750
Au4 Au 0.750 0.750 0.250
# * symmetry: F-43m
# * total DFT energy (no corrections): -3.907 eV/atom
# * polymorph energy (0 for the lowest one): 131.2 meV per atom

---

# 7
# SrBiPdAu, optimized geometry, DFT PBE
data_SrBiPdAu
_cell_length_a 7.274
_cell_length_b 7.274
_cell_length_c 7.274
_cell_angle_alpha 90.00
_cell_angle_beta 90.00
_cell_angle_gamma 90.00
_symmetry_space_group_name_H-M 'P 1'
_symmetry_Int_Tables_number 1
loop_
_symmetry_equiv_pos_as_xyz
'x,y,z'
loop_
_atom_site_label
_atom_site_type_symbol
_atom_site_fract_x
_atom_site_fract_y
_atom_site_fract_z
Sr1 Sr 0.000 0.000 0.000
Sr2 Sr 0.000 0.500 0.500
Sr3 Sr 0.500 0.000 0.500
Sr4 Sr 0.500 0.500 0.000
Bi1 Bi 0.250 0.250 0.250
Bi2 Bi 0.250 0.750 0.750
Bi3 Bi 0.750 0.250 0.750
Bi4 Bi 0.750 0.750 0.250
Pd1 Pd 0.250 0.250 0.750
Pd2 Pd 0.250 0.750 0.250
Pd3 Pd 0.750 0.250 0.250
Pd4 Pd 0.750 0.750 0.750
Au1 Au 0.000 0.000 0.500
Au2 Au 0.000 0.500 0.000
Au3 Au 0.500 0.000 0.000
Au4 Au 0.500 0.500 0.500
# * symmetry: F-43m
# * total DFT energy (no corrections): -3.832 eV/atom
# * polymorph energy (0 for the lowest one): 206.3 meV per atom

---

# 8
# SrBiPdAu, optimized geometry, DFT PBE
data_SrBiPdAu
_cell_length_a 7.276
_cell_length_b 7.276
_cell_length_c 7.276
_cell_angle_alpha 90.00
_cell_angle_beta 90.00
_cell_angle_gamma 90.00
_symmetry_space_group_name_H-M 'P 1'
_symmetry_Int_Tables_number 1
loop_
_symmetry_equiv_pos_as_xyz
'x,y,z'
loop_
_atom_site_label
_atom_site_type_symbol
_atom_site_fract_x
_atom_site_fract_y
_atom_site_fract_z
Sr1 Sr 0.000 0.000 0.000
Sr2 Sr 0.000 0.500 0.500
Sr3 Sr 0.500 0.000 0.500
Sr4 Sr 0.500 0.500 0.000
Bi1 Bi 0.000 0.000 0.500
Bi2 Bi 0.000 0.500 0.000
Bi3 Bi 0.500 0.000 0.000
Bi4 Bi 0.500 0.500 0.500
Pd1 Pd 0.250 0.250 0.750
Pd2 Pd 0.250 0.750 0.250
Pd3 Pd 0.750 0.250 0.250
Pd4 Pd 0.750 0.750 0.750
Au1 Au 0.250 0.250 0.250
Au2 Au 0.250 0.750 0.750
Au3 Au 0.750 0.250 0.750
Au4 Au 0.750 0.750 0.250
# * symmetry: F-43m
# * total DFT energy (no corrections): -4.038 eV/atom
# * polymorph energy (0 for the lowest one): 0.0 meV per atom

---

Please write out number 1 again, unchanged.
# BiPd2Au, optimized geometry, DFT PBE
data_BiPd2Au
_cell_length_a 6.708
_cell_length_b 6.708
_cell_length_c 6.708
_cell_angle_alpha 90.00
_cell_angle_beta 90.00
_cell_angle_gamma 90.00
_symmetry_space_group_name_H-M 'P 1'
_symmetry_Int_Tables_number 1
loop_
_symmetry_equiv_pos_as_xyz
'x,y,z'
loop_
_atom_site_label
_atom_site_type_symbol
_atom_site_fract_x
_atom_site_fract_y
_atom_site_fract_z
Bi1 Bi 0.000 0.000 0.000
Bi2 Bi 0.000 0.500 0.500
Bi3 Bi 0.500 0.000 0.500
Bi4 Bi 0.500 0.500 0.000
Pd1 Pd 0.000 0.000 0.500
Pd2 Pd 0.000 0.500 0.000
Pd3 Pd 0.250 0.250 0.750
Pd4 Pd 0.250 0.750 0.250
Pd5 Pd 0.500 0.000 0.000
Pd6 Pd 0.500 0.500 0.500
Pd7 Pd 0.750 0.250 0.250
Pd8 Pd 0.750 0.750 0.750
Au1 Au 0.250 0.250 0.250
Au2 Au 0.250 0.750 0.750
Au3 Au 0.750 0.250 0.750
Au4 Au 0.750 0.750 0.250
# * symmetry: F-43m
# * total DFT energy (no corrections): -4.562 eV/atom

---

- Number 5 is which compound?
  BiPdAu2